PBE GdNiAgPd, relaxed; space group = F-43m, No. 216; total magnetic moment = 7.18 μB per formula unit; DFT total energy = -7.30 eV/atom; density of states at the Fermi level = 2.74 states/eV/cell; energy relative to the elements = -320 meV/atom
1.0
-0.105 2.341 -4.059
-3.333 -0.935 -3.159
-3.397 3.123 -0.817
Ni Ag Pd Gd
1 1 1 1
direct
0.500 0.500 0.500 Ni
0.250 0.250 0.250 Ag
0.000 0.000 0.000 Pd
0.750 0.750 0.750 Gd

PBE CdReRh4, relaxed; space group = F-43m, No. 216; total magnetic moment = 0.01 μB per formula unit; DFT total energy = -6.74 eV/atom; density of states at the Fermi level = 7.94 states/eV/cell; energy relative to the elements = 390 meV/atom
1.0
0.903 3.158 3.914
-3.879 1.698 2.860
-0.552 -1.660 4.801
Rh Re Cd
4 1 1
direct
0.375 0.375 0.875 Rh
0.375 0.375 0.375 Rh
0.875 0.375 0.375 Rh
0.375 0.875 0.375 Rh
0.000 0.000 0.000 Re
0.750 0.750 0.750 Cd

PBE CoHgPb2, relaxed; space group = P4/mmm, No. 123; total magnetic moment = 0.76 μB per formula unit; DFT total energy = -3.46 eV/atom; density of states at the Fermi level = 3.61 states/eV/cell; energy relative to the elements = 251 meV/atom
1.0
-2.859 -1.577 0.486
1.322 -1.615 2.557
-2.674 6.550 5.521
Co Pb Hg
1 2 1
direct
0.500 0.500 0.250 Co
0.000 0.000 0.064 Pb
0.000 0.000 0.436 Pb
0.500 0.500 0.750 Hg

PBE DyErLuTl, relaxed; space group = F-43m, No. 216; total magnetic moment = 1.04 μB per formula unit; DFT total energy = -4.04 eV/atom; density of states at the Fermi level = 6.08 states/eV/cell; energy relative to the elements = -28 meV/atom
1.0
5.417 0.000 0.000
2.709 4.692 0.000
2.709 1.564 4.423
Dy Lu Er Tl
1 1 1 1
direct
0.250 0.250 0.250 Dy
0.500 0.500 0.500 Lu
0.750 0.750 0.750 Er
0.000 0.000 0.000 Tl

PBE PaInSi2Rh5, relaxed; raw formation energy = -0.423 eV per atom; space group = P4/mmm, No. 123; total magnetic moment = 0.02 μB per formula unit; DFT total energy = -7.07 eV/atom; density of states at the Fermi level = 7.06 states/eV/cell
1.0
3.985 0.000 0.000
0.000 3.985 0.000
0.000 0.000 10.666
In Si Rh Pa
1 2 5 1
direct
0.000 0.000 0.000 In
0.500 0.500 0.282 Si
0.500 0.500 0.718 Si
0.000 0.500 0.825 Rh
0.500 0.000 0.825 Rh
0.500 0.500 0.500 Rh
0.000 0.500 0.175 Rh
0.500 0.000 0.175 Rh
0.000 0.000 0.500 Pa

PBE BaZrSe2, relaxed; raw formation energy = -1.431 eV per atom; space group = R3m, No. 160; total magnetic moment = 0.00 μB per formula unit; E above lowest polymorph = 26 meV/atom; DFT total energy = -5.79 eV/atom; density of states at the Fermi level = 2.17 states/eV/cell
1.0
-3.574 1.841 0.584
-2.639 -1.495 2.703
1.019 4.406 6.486
Se Ba Zr
2 1 1
direct
0.818 0.818 0.546 Se
0.016 0.016 0.951 Se
0.245 0.245 0.264 Ba
0.420 0.420 0.739 Zr

PBE ZnSb3Au, relaxed; raw formation energy = 0.683 eV per atom; space group = Pm-3m, No. 221; total magnetic moment = 0.00 μB per formula unit; E above lowest polymorph = 0 meV/atom; DFT total energy = -2.70 eV/atom; density of states at the Fermi level = 3.15 states/eV/cell
1.0
-1.543 -2.969 3.946
-1.630 -3.596 -3.344
4.661 -2.240 0.137
Sb Au Zn
3 1 1
direct
0.500 0.000 0.000 Sb
0.000 0.000 0.500 Sb
0.000 0.500 0.000 Sb
0.500 0.500 0.500 Au
0.000 0.000 0.000 Zn

PBE Tl15InSb4, relaxed; raw formation energy = 0.004 eV per atom; space group = P4/mmm, No. 123; total magnetic moment = 0.00 μB per formula unit; DFT total energy = -2.73 eV/atom; density of states at the Fermi level = 9.27 states/eV/cell
1.0
5.004 0.000 0.000
0.000 5.004 0.000
0.000 0.000 24.556
Tl Sb In
15 4 1
direct
0.000 0.500 0.897 Tl
0.000 0.500 0.301 Tl
0.500 0.500 0.000 Tl
0.500 0.000 0.699 Tl
0.500 0.500 0.600 Tl
0.000 0.500 0.500 Tl
0.500 0.500 0.797 Tl
0.500 0.500 0.203 Tl
0.000 0.500 0.699 Tl
0.000 0.500 0.103 Tl
0.500 0.000 0.500 Tl
0.500 0.000 0.301 Tl
0.500 0.000 0.897 Tl
0.500 0.500 0.400 Tl
0.500 0.000 0.103 Tl
0.000 0.000 0.398 Sb
0.000 0.000 0.806 Sb
0.000 0.000 0.194 Sb
0.000 0.000 0.602 Sb
0.000 0.000 0.000 In

PBE HfTeRuBr2, relaxed; raw formation energy = 0.377 eV per atom; space group = P4/mmm, No. 123; total magnetic moment = 1.72 μB per formula unit; DFT total energy = -4.77 eV/atom; density of states at the Fermi level = 5.28 states/eV/cell
1.0
-3.408 -0.659 3.723
-2.537 -3.619 -2.963
2.899 -3.673 2.004
Hf Br Te Ru
1 2 1 1
direct
0.000 0.000 0.000 Hf
0.500 0.000 0.000 Br
0.000 0.000 0.500 Br
0.500 0.500 0.500 Te
0.000 0.500 0.000 Ru

PBE Y3TlPd12, relaxed; space group = P4/mmm, No. 123; total magnetic moment = 0.00 μB per formula unit; DFT total energy = -5.94 eV/atom; density of states at the Fermi level = 11.91 states/eV/cell; energy relative to the elements = -687 meV/atom
1.0
4.129 0.000 0.000
0.000 4.129 0.000
0.000 0.000 16.442
Pd Tl Y
12 1 3
direct
0.000 0.500 0.374 Pd
0.500 0.000 0.877 Pd
0.500 0.500 0.751 Pd
0.500 0.000 0.123 Pd
0.000 0.500 0.123 Pd
0.500 0.500 0.000 Pd
0.500 0.000 0.626 Pd
0.000 0.500 0.626 Pd
0.500 0.000 0.374 Pd
0.500 0.500 0.249 Pd
0.500 0.500 0.500 Pd
0.000 0.500 0.877 Pd
0.000 0.000 0.000 Tl
0.000 0.000 0.500 Y
0.000 0.000 0.752 Y
0.000 0.000 0.248 Y

PBE Y2ScPt, relaxed; space group = P4mm, No. 99; total magnetic moment = 0.00 μB per formula unit; E above lowest polymorph = 61 meV/atom; DFT total energy = -6.90 eV/atom; density of states at the Fermi level = 5.63 states/eV/cell; energy relative to the elements = -578 meV/atom
1.0
-1.604 -0.386 -3.067
2.863 -1.489 -1.310
-2.771 -7.426 2.385
Sc Y Pt
1 2 1
direct
0.500 0.500 0.690 Sc
0.500 0.500 0.303 Y
0.000 0.000 0.983 Y
0.000 0.000 0.525 Pt

PBE CeCdGa2, relaxed; space group = Fm-3m, No. 225; total magnetic moment = 0.00 μB per formula unit; E above lowest polymorph = 2 meV/atom; DFT total energy = -3.58 eV/atom; density of states at the Fermi level = 2.80 states/eV/cell; energy relative to the elements = -358 meV/atom
1.0
-2.330 -2.876 -3.288
-1.562 -4.508 1.322
-4.844 -0.897 0.490
Ga Cd Ce
2 1 1
direct
0.750 0.750 0.750 Ga
0.250 0.250 0.250 Ga
0.000 0.000 0.000 Cd
0.500 0.500 0.500 Ce